Material: Zr3BeRu
Method: DFT, PBE-GGA
State: optimized geometry

Computed properties:
Polymorph energy (0 for the lowest one)   189 meV per atom
N(E_F)   10.033 states/eV/f.u.
Energy of formation from the pure elements   0.6765 eV/atom
ρ   5.2 g/cm3

```
data_Zr3BeRu
_cell_length_a 4.978
_cell_length_b 4.978
_cell_length_c 4.978
_cell_angle_alpha 90.00
_cell_angle_beta 90.00
_cell_angle_gamma 90.00
_space_group_name_H-M_alt 'P m -3 m'
_space_group_IT_number 221
_space_group_name_Hall '-P 4 2 3'
loop_
_atom_site_label
_atom_site_fract_x
_atom_site_fract_y
_atom_site_fract_z
Zr1 0.000 0.000 0.500
Be1 0.500 0.500 0.500
Ru1 0.000 0.000 0.000
```